This record from Alexandria describes a relaxed Na2NdTmTe4 crystal. The functional is PBE. Values from VASP.

```
&SYSTEM
  ibrav = 0, nat = 8, ntyp = 4
/
ATOMIC_SPECIES
Na 22.99 Na.upf
Nd 144.24 Nd.upf
Tm 168.93 Tm.upf
Te 127.60 Te.upf
ATOMIC_POSITIONS crystal
Na 0.0000 0.0000 0.0000
Na 0.5000 0.5000 0.0000
Nd 0.0000 0.5000 0.5000
Tm 0.5000 0.0000 0.5000
Te 0.2548 0.0000 0.7366
Te 0.2654 0.5000 0.2687
Te 0.7346 0.5000 0.7313
Te 0.7452 0.0000 0.2634
CELL_PARAMETERS angstrom
7.7424 0.0000 0.0000
0.0000 4.4669 0.0000
-2.5757 0.0000 7.5712
```

Properties
Magnetization = 0.000 μB/atom
Formation energy from raw total energies = -1306 meV/atom
Space-group type = No. 10

---

This record from Alexandria describes a relaxed TbPr2Sm6Y3 crystal. The functional is PBE. Values from VASP.

```
&SYSTEM
  ibrav = 0, nat = 12, ntyp = 4
/
ATOMIC_SPECIES
Tb 158.93 Tb.upf
Pr 140.91 Pr.upf
Sm 150.36 Sm.upf
Y 88.91 Y.upf
ATOMIC_POSITIONS crystal
Tb 0.0000 0.0000 0.0000
Pr 0.3334 0.6666 0.0000
Pr 0.6666 0.3334 0.0000
Sm 0.0842 0.4165 0.2526
Sm 0.2480 0.2480 0.7471
Sm 0.4165 0.0842 0.2526
Sm 0.5835 0.9158 0.7474
Sm 0.7520 0.7520 0.2529
Sm 0.9158 0.5835 0.7474
Y 0.1664 0.8336 0.5000
Y 0.5000 0.5000 0.5000
Y 0.8336 0.1664 0.5000
CELL_PARAMETERS angstrom
3.1409 -5.4397 0.0000
3.1409 5.4397 0.0000
-2.0904 0.0000 11.8208
```

Properties
Magnetization = 0.000 μB/atom
Formation energy = 15 meV/atom
Space-group type = No. 12

---

This record from Alexandria describes a relaxed TaMo2PbW crystal. The functional is PBE. Values from VASP.

```
&SYSTEM
  ibrav = 0, nat = 5, ntyp = 4
/
ATOMIC_SPECIES
Ta 180.95 Ta.upf
Mo 95.94 Mo.upf
Pb 207.20 Pb.upf
W 183.84 W.upf
ATOMIC_POSITIONS crystal
Ta 0.0000 0.0000 0.0000
Mo 0.0000 0.5000 0.5000
Mo 0.5000 0.0000 0.5000
Pb 0.5000 0.5000 0.0000
W 0.5000 0.5000 0.5000
CELL_PARAMETERS angstrom
4.7457 0.0000 0.0000
0.0000 4.7457 0.0000
0.0000 0.0000 5.1422
```

Properties
Magnetization = 0.000 μB/atom
Formation energy = 2033 meV/atom
Space-group type = No. 123

---

This record from Alexandria describes a relaxed La6ErCd2 crystal. The functional is PBE. Values from VASP.

```
&SYSTEM
  ibrav = 0, nat = 9, ntyp = 3
/
ATOMIC_SPECIES
La 138.91 La.upf
Er 167.26 Er.upf
Cd 112.41 Cd.upf
ATOMIC_POSITIONS crystal
La 0.0221 0.0221 0.3366
La 0.3083 0.3083 0.4072
La 0.3181 0.3181 0.1229
La 0.6819 0.6819 0.8771
La 0.6917 0.6917 0.5928
La 0.9779 0.9779 0.6634
Er 0.0000 0.0000 0.0000
Cd 0.3611 0.3611 0.8097
Cd 0.6389 0.6389 0.1903
CELL_PARAMETERS angstrom
6.6013 -1.9424 0.0000
6.6013 1.9424 0.0000
-3.9066 0.0000 11.6957
```

Properties
Magnetization = 0.000 μB/atom
Formation energy = -136 meV/atom
Space-group type = No. 12